Entry from the Alexandria database: a geometry-optimized YBiSe2N structure (GGA-PBE).

a = 5.466 Å, b = 5.466 Å, c = 4.239 Å
α = 90.00°, β = 90.00°, γ = 90.00°
Atoms (fractional coordinates):
1 Y 0.500 0.500 0.500
2 Bi 0.000 0.000 0.000
3 Se 0.000 0.500 0.000
4 Se 0.500 0.000 0.000
5 N 0.000 0.000 0.500

Summary:
Relative energy among the computed polymorphs ... 0.191 eV per atom
E ... -4.9130 eV per atom
Symmetry ... P4/mmm (123)